[1]
The following is a PBE calculation of a geometry-optimized GdCuSnTe3 structure, from the Open Quantum Materials Database.

Results
As for the space group: Pnma, No. 62. The value obtained for the energy relative to the lowest polymorph listed for this composition is 0.22 eV/f.u.

abc: 8.901 4.453 17.296
angles: 90.00 90.00 90.00
Positions (direct):
Cu 0.875 0.750 0.128
Cu 0.375 0.750 0.372
Cu 0.625 0.250 0.628
Cu 0.125 0.250 0.872
Gd 0.251 0.750 0.038
Gd 0.751 0.750 0.462
Gd 0.249 0.250 0.538
Gd 0.749 0.250 0.962
Sn 0.581 0.250 0.225
Sn 0.081 0.250 0.275
Sn 0.919 0.750 0.725
Sn 0.419 0.750 0.775
Te 0.613 0.750 0.064
Te 0.019 0.250 0.097
Te 0.310 0.750 0.220
Te 0.810 0.750 0.280
Te 0.519 0.250 0.403
Te 0.113 0.750 0.436
Te 0.887 0.250 0.564
Te 0.481 0.750 0.597
Te 0.190 0.250 0.720
Te 0.690 0.250 0.780
Te 0.981 0.750 0.903
Te 0.387 0.250 0.936



[2]
The following is a PBE calculation of a geometry-optimized GdCuSnTe3 structure, from the Open Quantum Materials Database.

Results
As for the space group: Pnma, No. 62. The value obtained for the energy relative to the lowest polymorph listed for this composition is 0.15 eV/f.u.

abc: 12.378 4.393 12.422
angles: 90.00 90.00 90.00
Positions (direct):
Cu 0.233 0.750 0.201
Cu 0.733 0.750 0.299
Cu 0.267 0.250 0.701
Cu 0.767 0.250 0.799
Gd 0.531 0.250 0.191
Gd 0.031 0.250 0.309
Gd 0.969 0.750 0.691
Gd 0.469 0.750 0.809
Sn 0.202 0.250 0.032
Sn 0.702 0.250 0.468
Sn 0.298 0.750 0.532
Sn 0.798 0.750 0.968
Te 0.399 0.750 0.060
Te 0.034 0.750 0.129
Te 0.784 0.250 0.189
Te 0.284 0.250 0.311
Te 0.534 0.750 0.371
Te 0.899 0.750 0.440
Te 0.101 0.250 0.560
Te 0.466 0.250 0.629
Te 0.716 0.750 0.689
Te 0.216 0.750 0.811
Te 0.966 0.250 0.871
Te 0.601 0.250 0.940



[3]
The following is a PBE calculation of a geometry-optimized GdCuSnTe3 structure, from the Open Quantum Materials Database.

Results
As for the space group: Cmcm, No. 63. The value obtained for the energy relative to the lowest polymorph listed for this composition is 0.02 eV/f.u.

abc: 7.571 7.571 11.219
angles: 90.00 90.00 32.64
Positions (direct):
Cu 0.470 0.470 0.250
Cu 0.530 0.530 0.750
Gd 0.000 0.000 0.000
Gd 0.000 0.000 0.500
Sn 0.764 0.764 0.250
Sn 0.236 0.236 0.750
Te 0.354 0.354 0.068
Te 0.086 0.086 0.250
Te 0.354 0.354 0.432
Te 0.646 0.646 0.568
Te 0.914 0.914 0.750
Te 0.646 0.646 0.932



[4]
The following is a PBE calculation of a geometry-optimized GdTmCu2Sn2 structure, from the Open Quantum Materials Database.

Results
As for the space group: P3m1, No. 156.

abc: 4.525 4.525 7.211
angles: 90.00 90.00 120.00
Positions (direct):
Cu 0.333 0.667 0.058
Cu 0.667 0.333 0.546
Gd 0.000 0.000 0.734
Sn 0.333 0.667 0.460
Sn 0.667 0.333 0.968
Tm 0.000 0.000 0.233



[5]
The following is a PBE calculation of a geometry-optimized GdTmCu2Sn structure, from the Open Quantum Materials Database.

Results
As for the space group: Amm2, No. 38.

abc: 3.610 7.198 7.198
angles: 34.05 90.00 90.00
Positions (direct):
Cu 0.500 0.203 0.203
Cu 0.500 0.800 0.800
Gd 0.000 0.630 0.630
Sn 0.500 0.998 0.998
Tm 0.000 0.368 0.368



[6]
The following is a PBE calculation of a geometry-optimized GdTm2Cu4Sn4 structure, from the Open Quantum Materials Database.

Results
As for the space group: Immm, No. 71.

abc: 8.409 8.409 8.409
angles: 149.52 130.93 58.87
Positions (direct):
Cu 0.640 0.330 0.311
Cu 0.981 0.670 0.311
Cu 0.360 0.670 0.689
Cu 0.019 0.330 0.689
Gd 0.000 0.000 0.000
Sn 0.217 0.217 0.000
Sn 0.783 0.783 0.000
Sn 0.701 0.500 0.201
Sn 0.299 0.500 0.799
Tm 0.631 0.131 0.500
Tm 0.369 0.869 0.500



[7]
The following is a PBE calculation of a geometry-optimized GdY2Cu4Sn4 structure, from the Open Quantum Materials Database.

Results
As for the space group: Immm, No. 71.

abc: 8.452 8.452 8.452
angles: 149.25 131.43 58.59
Positions (direct):
Cu 0.642 0.329 0.312
Cu 0.983 0.671 0.312
Cu 0.017 0.329 0.688
Cu 0.358 0.671 0.688
Gd 0.000 0.000 0.000
Sn 0.216 0.216 0.000
Sn 0.784 0.784 0.000
Sn 0.703 0.500 0.203
Sn 0.297 0.500 0.797
Y 0.631 0.131 0.500
Y 0.369 0.869 0.500



[8]
The following is a PBE calculation of a geometry-optimized Gd2YCu4Sn4 structure, from the Open Quantum Materials Database.

Results
As for the space group: Immm, No. 71.

abc: 8.460 8.460 8.460
angles: 149.23 131.50 58.54
Positions (direct):
Cu 0.642 0.329 0.312
Cu 0.983 0.671 0.312
Cu 0.017 0.329 0.688
Cu 0.358 0.671 0.688
Gd 0.631 0.131 0.500
Gd 0.369 0.869 0.500
Sn 0.216 0.216 0.000
Sn 0.784 0.784 0.000
Sn 0.703 0.500 0.203
Sn 0.297 0.500 0.797
Y 0.000 0.000 0.000



no.,energy (eV per atom)
1,-4.2665
2,-4.2793
3,-4.2996
4,-4.6913
5,-4.5790
6,-4.5356
7,-4.9328
8,-4.7727